! PdI3Br9, relaxed, DFT PBE-GGA; values from VASP
&SYSTEM
  ibrav = 0, nat = 26, ntyp = 3
/
ATOMIC_SPECIES
Br 79.90 Br.upf
I 126.90 I.upf
Pd 106.42 Pd.upf
ATOMIC_POSITIONS crystal
Br 0.883 0.757 0.873
I 0.499 0.322 0.860
I 0.023 0.306 0.346
Br 0.173 0.880 0.232
Br 0.254 0.264 0.009
Br 0.011 0.994 0.014
Br 0.848 0.376 0.090
I 0.768 0.162 0.161
Br 0.151 0.447 0.739
I 0.909 0.662 0.661
Br 0.686 0.876 0.590
Br 0.294 0.077 0.651
Br 0.981 0.494 0.514
Pd 0.483 0.008 0.447
Pd 0.062 0.508 0.947
Br 0.978 0.577 0.151
Br 0.473 0.764 0.509
Br 0.373 0.534 0.026
Br 0.067 0.034 0.526
Br 0.592 0.131 0.730
Br 0.486 0.257 0.373
I 0.326 0.806 0.846
Br 0.547 0.631 0.230
Br 0.663 0.947 0.239
I 0.320 0.822 0.360
Br 0.715 0.380 0.732
CELL_PARAMETERS angstrom
11.411 0.000 4.802
5.080 8.886 3.886
1.630 0.806 12.087
! SG: Cc
! size of the total moment: 0.000 μB per atom
! formation energy without anion corrections: -97 meV/atom